Density functional theory data (GGA-PBE) for a geometry-optimized Pm2SmDy5Sc structure.

a b c (Å): 5.585 10.298 10.435
angles (deg): 90.00 90.00 105.73
Atoms (fractional coordinates):
1 Pm 0.887 0.775 0.815
2 Pm 0.115 0.229 0.734
3 Pm 0.113 0.225 0.315
4 Pm 0.885 0.771 0.234
5 Sm 0.589 0.177 0.957
6 Sm 0.411 0.823 0.457
7 Dy 0.375 0.750 0.019
8 Dy 0.724 0.447 0.822
9 Dy 0.482 0.964 0.740
10 Dy 0.298 0.595 0.704
11 Dy 0.983 0.965 0.518
12 Dy 0.625 0.250 0.519
13 Dy 0.276 0.553 0.322
14 Dy 0.518 0.036 0.240
15 Dy 0.702 0.405 0.204
16 Dy 0.017 0.035 0.018
17 Sc 0.804 0.608 0.515
18 Sc 0.196 0.392 0.015

Summary:
The calculation puts the theoretical density at 7.461 g cm⁻³. Its density of states at the Fermi level is 1.412 states/eV/atom. The formation energy comes out at 159 meV/atom. The raw total energy comes out at -4.682 eV/atom.

Density functional theory data (GGA-PBE) for a geometry-optimized CaTe2Au2 structure.

a b c (Å): 4.690 4.690 7.044
angles (deg): 70.55 70.55 90.00
Atoms (fractional coordinates):
1 Ca 0.000 0.000 0.000
2 Te 0.750 0.250 0.500
3 Te 0.250 0.750 0.500
4 Au 0.394 0.394 0.211
5 Au 0.606 0.606 0.789

Summary:
The calculation puts the theoretical density at 8.372 g cm⁻³. Its energy above the most stable polymorph in this dataset is 15.4 kJ per mole of atoms. Its density of states at the Fermi level is 0.293 states/eV/atom. The raw total energy comes out at -3.298 eV/atom. As for the formation energy (no corrections): -0.330 eV per atom.

Density functional theory data (GGA-PBE) for a geometry-optimized Ac2MgP structure.

a b c (Å): 5.554 5.554 5.554
angles (deg): 60.00 60.00 60.00
Atoms (fractional coordinates):
1 P 0.000 0.000 0.000
2 Ac 0.250 0.250 0.250
3 Ac 0.750 0.750 0.750
4 Mg 0.500 0.500 0.500

Summary:
The calculation puts the theoretical density at 6.982 g cm⁻³. Its energy above the most stable polymorph in this dataset is 22.1 kJ per mole of atoms. Its density of states at the Fermi level is 1.293 states/eV/atom. The formation energy comes out at -304 meV/atom. The raw total energy comes out at -4.109 eV/atom.

Density functional theory data (GGA-PBE) for a geometry-optimized Ti2H2Ru structure.

a b c (Å): 5.512 4.942 5.303
angles (deg): 73.17 58.73 56.10
Atoms (fractional coordinates):
1 Ti 0.567 0.366 0.250
2 Ti 0.816 0.867 0.750
3 Ti 0.184 0.133 0.250
4 Ti 0.433 0.634 0.750
5 H 0.492 0.750 0.017
6 H 0.742 0.250 0.517
7 H 0.508 0.250 0.983
8 H 0.258 0.750 0.483
9 Ru 0.875 0.749 0.250
10 Ru 0.125 0.251 0.750

Summary:
The calculation puts the theoretical density at 6.443 g cm⁻³. Its energy above the most stable polymorph in this dataset is 20.7 kJ per mole of atoms. Its density of states at the Fermi level is 0.339 states/eV/atom. The raw total energy comes out at -6.692 eV/atom.

Density functional theory data (GGA-PBE) for a geometry-optimized TiMnPS2 structure.

a b c (Å): 4.521 4.521 4.409
angles (deg): 90.00 90.00 90.00
Site moments in Bohr magnetons follow the coordinates.
Atoms (fractional coordinates):
1 P 0.000 0.000 0.500  -0.16
2 S 0.000 0.500 0.000  -0.07
3 S 0.500 0.000 0.000  -0.07
4 Mn 0.000 0.000 0.000  2.60
5 Ti 0.500 0.500 0.500  1.48

Summary:
The calculation puts the theoretical density at 3.646 g cm⁻³. Its energy above the most stable polymorph in this dataset is 13.6 kJ per mole of atoms. Its density of states at the Fermi level is 0.906 states/eV/atom. The raw total energy comes out at -6.017 eV/atom. As for the formation energy (no corrections): 0.129 eV per atom.

Density functional theory data (GGA-PBE) for a geometry-optimized Pm2Si3Ni4Ir structure.

a b c (Å): 3.994 3.994 9.922
angles (deg): 90.00 90.00 90.00
Atoms (fractional coordinates):
1 Pm 0.500 0.000 0.248
2 Pm 0.000 0.500 0.752
3 Si 0.000 0.000 0.500
4 Si 0.500 0.000 0.880
5 Si 0.000 0.500 0.120
6 Ni 0.500 0.500 0.000
7 Ni 0.000 0.000 0.000
8 Ni 0.500 0.000 0.644
9 Ni 0.000 0.500 0.356
10 Ir 0.500 0.500 0.500

Summary:
The calculation puts the theoretical density at 8.404 g cm⁻³. Its density of states at the Fermi level is 0.824 states/eV/atom. The raw total energy comes out at -6.452 eV/atom. As for the formation energy (no corrections): -0.677 eV per atom.